# 1
The following is a DFT calculation (GGA-PBE) of an optimized crystal structure of Rb2UGe2Se6.

Cell: 7.651 7.546 8.484 Å, 117.17 90.00 120.46°
Each line ends with the local moment (μB).
Atoms (fractional coordinates):
Rb 0.713 0.427 0.205  0.00
Rb 0.287 0.573 0.795  0.00
U 0.500 0.000 0.500  1.98
Ge 0.963 0.926 0.826  0.03
Ge 0.037 0.074 0.174  0.03
Se 0.743 0.486 0.635  -0.02
Se 0.202 0.894 0.218  -0.02
Se 0.308 0.106 0.782  -0.02
Se 0.798 0.106 0.782  -0.02
Se 0.692 0.894 0.218  -0.02
Se 0.257 0.514 0.365  -0.02

Results
Calculated volume = 358.1 Å³/cell
Uncorrected energy = -4.720 eV per atom
Energy relative to the elements, uncorrected = -778.1 meV/atom
DOS(E_F) = 0.4796 states/eV per atom

***

# 2
The following is a DFT calculation (GGA-PBE) of an optimized crystal structure of RbYGeSe4.

Cell: 6.781 7.079 9.499 Å, 90.00 108.05 90.00°
Atoms (fractional coordinates):
Rb 0.750 0.750 0.941
Rb 0.250 0.250 0.059
Y 0.773 0.750 0.450
Y 0.227 0.250 0.550
Ge 0.224 0.750 0.334
Ge 0.776 0.250 0.666
Se 0.014 0.509 0.703
Se 0.986 0.009 0.297
Se 0.986 0.491 0.297
Se 0.014 0.991 0.703
Se 0.427 0.750 0.174
Se 0.573 0.250 0.826
Se 0.442 0.750 0.581
Se 0.558 0.250 0.419

Results
Calculated volume = 433.5 Å³/cell
Uncorrected energy = -4.839 eV per atom
Energy relative to the elements, uncorrected = -1126.4 meV/atom

***

# 3
The following is a DFT calculation (GGA-PBE) of an optimized crystal structure of RbSiGe.

Cell: 3.801 6.865 7.757 Å, 108.47 104.14 90.02°
Atoms (fractional coordinates):
Rb 0.900 0.686 0.800
Rb 0.100 0.314 0.200
Si 0.235 0.841 0.469
Si 0.765 0.159 0.531
Ge 0.627 0.840 0.253
Ge 0.373 0.160 0.747

Results
Relative energy among the computed polymorphs = 0.0 meV/atom
Calculated volume = 185.5 Å³/cell
Uncorrected energy = -3.677 eV per atom
Energy relative to the elements, uncorrected = -8.0 meV/atom
DOS(E_F) = 0.0639 states/eV per atom